A geometry-optimized CsNaLiSb structure. Source: Alexandria, functional PBE.

abc: 5.1170 5.1170 7.4898
angles: 70.03 70.03 60.00
With the nearest neighbours (Å) after each atom.
Sites, in units of the cell vectors:
Cs (0.8203, 0.8203, 0.5390)  1 Na 3.69, 3 Sb 4.02, 3 Li 4.05
Li (0.2876, 0.2876, 0.1372)  3 Sb 2.95, 3 Na 3.10
Na (0.9991, 0.9991, 0.0027)  3 Li 3.10, 3 Sb 3.11
Sb (0.6188, 0.6188, 0.1436)  3 Li 2.95, 3 Na 3.11

Output
Energy above the most stable polymorph in this dataset in meV/atom: 0
Formation energy from raw total energies in meV per atom: -454
Fermi-level density of states in states/eV/f.u.: 0.3
Total moment in μB per atom: 0.00